An optimized crystal structure of Na5Hg2Au. Source: the Alexandria database, functional PBE-GGA.

Cell lengths 6.4919, 12.8122, 5.0702 Å; angles 90.00, 90.00, 90.00 degrees
Space group Pbam (No. 55)
Asymmetric unit:
Na 0.0000 0.0000 0.0000
Na 0.1016 0.2716 0.0000
Na 0.1653 0.6013 0.5000
Hg 0.1567 0.8622 0.5000
Au 0.0000 0.5000 0.0000

Energy of formation from the pure elements ... -208.6 meV per atom
Crystal system ... orthorhombic

An optimized crystal structure of NbIrI2N. Source: the Alexandria database, functional PBE-GGA.

Cell lengths 5.6419, 5.6419, 3.6868 Å; angles 90.00, 90.00, 90.00 degrees
Space group P4/mmm (No. 123)
Asymmetric unit:
Nb 0.0000 0.0000 0.0000
Ir 0.5000 0.5000 0.5000
I 0.0000 0.5000 0.5000
N 0.5000 0.5000 0.0000

ΔE to the lowest computed polymorph ... 0 meV/atom
Crystal system ... tetragonal

An optimized crystal structure of Pa2H3Au. Source: the Alexandria database, functional PBE-GGA.

Cell lengths 12.7285, 6.5636, 4.1268 Å; angles 90.00, 108.81, 90.00 degrees
Space group C2/m (No. 12)
Asymmetric unit:
Pa 0.0000 0.2353 0.0000
Pa 0.1857 0.5000 0.6859
H 0.0000 0.3631 0.5000
H 0.1844 0.3073 0.1844
Au 0.1304 0.0000 0.6300

Crystal system ... monoclinic

E_tot
In order: -1.518, -5.245, -5.631
Unit: eV per atom
Volume
In order: 210.86, 117.35, 81.59
Unit: Å³/f.u.